Record 1
Compound: BaGa2Ru
Source: the Alexandria database
Functional: PBE
Structure: relaxed

Results
Uncorrected energy   -35.681 eV per cell
Formation energy from the elements   -0.1470 eV/atom
Total magnetization   0.00 Bohr magnetons per cell

Cell lengths 8.9557, 8.9557, 8.9557 Å; angles 145.75, 145.75, 49.22 degrees
Last column: nearest neighbours and their distance in Å.
Element x y z (fractional)
1 Ba 0.3750 0.6250 0.7500  8 Ga 3.58, 4 Ru 3.73
2 Ba 0.6250 0.3750 0.2500  8 Ga 3.58, 4 Ru 3.73
3 Ga 0.0000 0.0000 0.0000  2 Ru 2.43, 2 Ga 2.64
4 Ga 0.0000 0.0000 0.5000  2 Ru 2.43, 2 Ga 2.64
5 Ga 0.0000 0.5000 0.0000  2 Ru 2.43, 2 Ga 2.64
6 Ga 0.5000 0.0000 0.5000  2 Ru 2.43, 2 Ga 2.64
7 Ru 0.1250 0.8750 0.2500  4 Ga 2.43
8 Ru 0.8750 0.1250 0.7500  4 Ga 2.43



Record 2
Compound: Na3PuNp3S8
Source: the Alexandria database
Functional: PBE
Structure: relaxed

Results
Uncorrected energy   -111.302 eV per cell
Uncorrected formation energy   -1.41 eV/atom
Total magnetization   16.00 Bohr magnetons per cell

Cell lengths 8.0981, 8.0981, 8.0981 Å; angles 59.46, 59.46, 59.46 degrees
Last column: nearest neighbours and their distance in Å.
Element x y z (fractional)
1 Na 0.0000 0.5000 0.5000  6 S 2.95-2.98
2 Na 0.5000 0.0000 0.5000  6 S 2.95-2.98
3 Na 0.5000 0.5000 0.0000  6 S 2.95-2.98
4 Pu 0.5000 0.5000 0.5000  6 S 2.75
5 Np 0.0000 0.0000 0.5000  6 S 2.73-2.76
6 Np 0.0000 0.5000 0.0000  6 S 2.73-2.76
7 Np 0.5000 0.0000 0.0000  6 S 2.73-2.76
8 S 0.2374 0.7404 0.7404  2 Np 2.73, 1 Pu 2.75, 2 Na 2.98
9 S 0.2420 0.2420 0.2420  3 Np 2.76, 3 Na 2.95
10 S 0.2596 0.2596 0.7626  2 Np 2.73, 1 Pu 2.75, 2 Na 2.98
11 S 0.2596 0.7626 0.2596  2 Np 2.73, 1 Pu 2.75, 2 Na 2.98
12 S 0.7404 0.2374 0.7404  2 Np 2.73, 1 Pu 2.75, 2 Na 2.98
13 S 0.7404 0.7404 0.2374  2 Np 2.73, 1 Pu 2.75, 2 Na 2.98
14 S 0.7580 0.7580 0.7580  3 Np 2.76, 3 Na 2.95
15 S 0.7626 0.2596 0.2596  2 Np 2.73, 1 Pu 2.75, 2 Na 2.98



Record 3
Compound: CaSnSb3
Source: the Alexandria database
Functional: PBE
Structure: relaxed

Results
Uncorrected energy   -16.887 eV per cell
Offset from the most stable computed form   0.00 eV/f.u.
Uncorrected formation energy   0.30 eV/atom
Total magnetization   0.00 Bohr magnetons per cell

Cell lengths 5.6639, 5.6639, 5.6639 Å; angles 90.00, 90.00, 90.00 degrees
Last column: nearest neighbours and their distance in Å.
Element x y z (fractional)
1 Ca 0.0000 0.0000 0.0000  12 Sb 4.00
2 Sn 0.5000 0.5000 0.5000  6 Sb 2.83
3 Sb 0.0000 0.5000 0.5000  2 Sn 2.83
4 Sb 0.5000 0.0000 0.5000  2 Sn 2.83
5 Sb 0.5000 0.5000 0.0000  2 Sn 2.83



Record 4
Compound: Zr2Cu2Os
Source: the Alexandria database
Functional: PBE
Structure: relaxed

Results
Uncorrected energy   -35.151 eV per cell
Offset from the most stable computed form   1.92 eV/f.u.
Formation energy from the elements   0.2734 eV/atom
Total magnetization   0.00 Bohr magnetons per cell

Cell lengths 5.0384, 5.0384, 5.0384 Å; angles 120.39, 120.39, 89.33 degrees
Last column: nearest neighbours and their distance in Å.
Element x y z (fractional)
1 Zr 0.2500 0.7500 0.5000  4 Cu 2.61
2 Zr 0.7500 0.2500 0.5000  4 Cu 2.61
3 Cu 0.1480 0.1480 0.0000  1 Cu 2.12
4 Cu 0.8520 0.8520 0.0000  1 Cu 2.12
5 Os 0.5000 0.5000 0.0000  2 Cu 2.52



Record 5
Compound: BaGaS2I
Source: the Alexandria database
Functional: PBE
Structure: relaxed

Results
Uncorrected energy   -15.330 eV per cell
Uncorrected formation energy   -0.12 eV/atom
Total magnetization   0.00 Bohr magnetons per cell

Cell lengths 5.4946, 5.4946, 5.4474 Å; angles 90.00, 90.00, 90.00 degrees
Last column: nearest neighbours and their distance in Å.
Element x y z (fractional)
1 Ba 0.0000 0.0000 0.0000  8 S 3.87, 4 Ga 3.89
2 Ga 0.5000 0.5000 0.0000  2 I 2.72
3 S 0.0000 0.5000 0.5000  2 I 2.75
4 S 0.5000 0.0000 0.5000  2 I 2.75
5 I 0.5000 0.5000 0.5000  2 Ga 2.72, 4 S 2.75



Record 6
Compound: Ho6Tm2Ga
Source: the Alexandria database
Functional: PBE
Structure: relaxed

Results
Uncorrected energy   -39.267 eV per cell
Formation energy from the elements   0.0188 eV/atom
Total magnetization   0.00 Bohr magnetons per cell

Cell lengths 9.6490, 9.6490, 3.4937 Å; angles 90.00, 90.00, 123.71 degrees
Last column: nearest neighbours and their distance in Å.
Element x y z (fractional)
1 Ho 0.0111 0.3350 0.0000  6 Ho 3.15-3.49, 1 Ga 3.17, 2 Tm 3.46
2 Ho 0.2874 0.2874 0.5000  2 Ga 3.15, 6 Ho 3.42-3.49
3 Ho 0.3350 0.0111 0.0000  6 Ho 3.15-3.49, 1 Ga 3.17, 2 Tm 3.46
4 Ho 0.6650 0.9889 0.0000  6 Ho 3.15-3.49, 1 Ga 3.17, 2 Tm 3.46
5 Ho 0.7126 0.7126 0.5000  2 Ga 3.15, 6 Ho 3.42-3.49
6 Ho 0.9889 0.6650 0.0000  6 Ho 3.15-3.49, 1 Ga 3.17, 2 Tm 3.46
7 Tm 0.3205 0.6795 0.5000  10 Ho 3.46-3.62, 2 Tm 3.49
8 Tm 0.6795 0.3205 0.5000  10 Ho 3.46-3.62, 2 Tm 3.49
9 Ga 0.0000 0.0000 0.0000  8 Ho 3.15-3.17, 2 Ga 3.49



Record 7
Compound: NbCr2Ru
Source: the Alexandria database
Functional: PBE
Structure: relaxed

Results
Uncorrected energy   -72.064 eV per cell
Offset from the most stable computed form   2.13 eV/f.u.
Formation energy from the elements   0.6401 eV/atom
Total magnetization   0.00 Bohr magnetons per cell

Cell lengths 5.4834, 5.4834, 5.4834 Å; angles 102.50, 102.50, 124.55 degrees
Last column: nearest neighbours and their distance in Å.
Element x y z (fractional)
1 Nb 0.0000 0.0000 0.0000  2 Ru 2.55, 4 Cr 2.60
2 Nb 0.7500 0.2500 0.5000  2 Ru 2.55, 4 Cr 2.60
3 Cr 0.1446 0.6250 0.0196  2 Ru 2.42, 2 Cr 2.57, 2 Nb 2.60
4 Cr 0.3750 0.3946 0.5196  2 Ru 2.42, 2 Cr 2.57, 2 Nb 2.60
5 Cr 0.6054 0.1250 0.9804  2 Ru 2.42, 2 Cr 2.57, 2 Nb 2.60
6 Cr 0.8750 0.8554 0.4804  2 Ru 2.42, 2 Cr 2.57, 2 Nb 2.60
7 Ru 0.2500 0.7500 0.5000  4 Cr 2.42, 2 Nb 2.55
8 Ru 0.5000 0.5000 0.0000  4 Cr 2.42, 2 Nb 2.55



Record 8
Compound: Ca6MgZn5
Source: the Alexandria database
Functional: PBE
Structure: relaxed

Results
Uncorrected energy   -22.399 eV per cell
Formation energy from the elements   -0.2021 eV/atom
Total magnetization   0.00 Bohr magnetons per cell

Cell lengths 5.2857, 7.4041, 8.3378 Å; angles 90.00, 108.37, 90.00 degrees
Last column: nearest neighbours and their distance in Å.
Element x y z (fractional)
1 Ca 0.0000 0.2375 0.0000  6 Zn 3.16-3.17, 2 Mg 3.28, 1 Ca 3.52
2 Ca 0.0000 0.7625 0.0000  6 Zn 3.16-3.17, 2 Mg 3.28, 1 Ca 3.52
3 Ca 0.3288 0.2458 0.6568  7 Zn 3.15-3.30, 1 Mg 3.30
4 Ca 0.3288 0.7542 0.6568  7 Zn 3.15-3.30, 1 Mg 3.30
5 Ca 0.6712 0.2458 0.3432  7 Zn 3.15-3.30, 1 Mg 3.30
6 Ca 0.6712 0.7542 0.3432  7 Zn 3.15-3.30, 1 Mg 3.30
7 Mg 0.5000 0.5000 0.0000  8 Ca 3.28-3.30, 4 Zn 3.63
8 Zn 0.1564 0.5000 0.3150  8 Ca 3.16-3.30
9 Zn 0.1648 0.0000 0.3317  8 Ca 3.15-3.21
10 Zn 0.5000 0.0000 0.0000  8 Ca 3.17-3.27
11 Zn 0.8352 0.0000 0.6683  8 Ca 3.15-3.21
12 Zn 0.8436 0.5000 0.6850  8 Ca 3.16-3.30



Record 9
Compound: RbAsSe2S
Source: the Alexandria database
Functional: PBE
Structure: relaxed

Results
Uncorrected energy   -16.160 eV per cell
Offset from the most stable computed form   0.00 eV/f.u.
Uncorrected formation energy   0.11 eV/atom
Total magnetization   1.31 Bohr magnetons per cell

Cell lengths 5.1767, 5.1767, 4.9946 Å; angles 90.00, 90.00, 90.00 degrees
Last column: nearest neighbours and their distance in Å.
Element x y z (fractional)
1 Rb 0.0000 0.0000 0.0000  8 Se 3.60, 4 As 3.66
2 As 0.5000 0.5000 0.0000  2 S 2.50
3 Se 0.0000 0.5000 0.5000  2 S 2.59
4 Se 0.5000 0.0000 0.5000  2 S 2.59
5 S 0.5000 0.5000 0.5000  2 As 2.50, 4 Se 2.59



Record 10
Compound: UI3Cl3
Source: the Alexandria database
Functional: PBE
Structure: relaxed

Results
Uncorrected energy   -28.137 eV per cell
Uncorrected formation energy   -0.95 eV/atom
Total magnetization   0.00 Bohr magnetons per cell

Cell lengths 7.3831, 7.3831, 7.3831 Å; angles 108.83, 108.83, 108.83 degrees
Last column: nearest neighbours and their distance in Å.
Element x y z (fractional)
1 U 0.0000 0.0000 0.0000  3 Cl 2.49
2 I 0.5361 0.8551 0.8551  1 U 2.92
3 I 0.8551 0.5361 0.8551  1 U 2.92
4 I 0.8551 0.8551 0.5361  1 U 2.92
5 Cl 0.0194 0.2984 0.2984  1 U 2.49
6 Cl 0.2984 0.0194 0.2984  1 U 2.49
7 Cl 0.2984 0.2984 0.0194  1 U 2.49



Record 11
Compound: TmMg6Sc2
Source: the Alexandria database
Functional: PBE
Structure: relaxed

Results
Uncorrected energy   -26.921 eV per cell
Offset from the most stable computed form   0.00 eV/f.u.
Formation energy from the elements   -0.0244 eV/atom
Total magnetization   0.00 Bohr magnetons per cell

Cell lengths 8.8693, 8.8693, 3.1707 Å; angles 90.00, 90.00, 120.00 degrees
Last column: nearest neighbours and their distance in Å.
Element x y z (fractional)
1 Tm 0.0000 0.0000 0.0000  2 Tm 3.17, 12 Mg 3.38
2 Mg 0.0000 0.3368 0.5000  5 Mg 2.89-3.17
3 Mg 0.0000 0.6632 0.5000  5 Mg 2.89-3.17
4 Mg 0.3368 0.0000 0.5000  5 Mg 2.89-3.17
5 Mg 0.3368 0.3368 0.5000  5 Mg 2.89-3.17
6 Mg 0.6632 0.0000 0.5000  5 Mg 2.89-3.17
7 Mg 0.6632 0.6632 0.5000  5 Mg 2.89-3.17
8 Sc 0.3333 0.6667 0.0000  2 Sc 3.17, 12 Mg 3.34
9 Sc 0.6667 0.3333 0.0000  2 Sc 3.17, 12 Mg 3.34



Record 12
Compound: Tl2SnCl3
Source: the Alexandria database
Functional: PBE
Structure: relaxed

Results
Uncorrected energy   -38.234 eV per cell
Uncorrected formation energy   -0.81 eV/atom
Total magnetization   0.00 Bohr magnetons per cell

Cell lengths 9.6671, 9.6671, 9.6671 Å; angles 145.39, 57.26, 135.87 degrees
Last column: nearest neighbours and their distance in Å.
Element x y z (fractional)
1 Tl 0.1651 0.0031 0.1682  8 Cl 3.34-3.42, 2 Tl 3.63
2 Tl 0.3349 0.5031 0.8381  8 Cl 3.34-3.42, 2 Tl 3.63
3 Tl 0.6651 0.4969 0.1619  8 Cl 3.34-3.42, 2 Tl 3.63
4 Tl 0.8349 0.9969 0.8318  8 Cl 3.34-3.42, 2 Tl 3.63
5 Sn 0.2500 0.7500 0.5000  4 Cl 2.86-2.88
6 Sn 0.7500 0.2500 0.5000  4 Cl 2.86-2.88
7 Cl 0.0817 0.7500 0.3317  1 Sn 2.86
8 Cl 0.2500 0.2500 0.0000  2 Sn 2.88
9 Cl 0.4183 0.7500 0.6683  1 Sn 2.86
10 Cl 0.5817 0.2500 0.3317  1 Sn 2.86
11 Cl 0.7500 0.7500 0.0000  2 Sn 2.88
12 Cl 0.9183 0.2500 0.6683  1 Sn 2.86



- total magnetization of number 6 (Ho6Tm2Ga)?
  0.00 Bohr magnetons per cell